Material: La5Tb4Y
Method: DFT, GGA-PBE
State: relaxed

CIF file:
```
data_La5Tb4Y
_cell_length_a 9.284
_cell_length_b 9.284
_cell_length_c 11.245
_cell_angle_alpha 106.69
_cell_angle_beta 106.69
_cell_angle_gamma 22.10
_symmetry_space_group_name_H-M 'P 1'
_symmetry_Int_Tables_number 1
_symmetry_space_group_name_Hall 'P 1'
loop_
_atom_site_label
_atom_site_fract_x
_atom_site_fract_y
_atom_site_fract_z
La1 0.000 0.000 0.000
La2 0.292 0.292 0.897
La3 0.396 0.396 0.212
La4 0.604 0.604 0.788
La5 0.708 0.708 0.103
Tb1 0.196 0.196 0.579
Tb2 0.405 0.405 0.689
Tb3 0.595 0.595 0.311
Tb4 0.804 0.804 0.421
Y1 0.000 0.000 0.500
```

Properties
As for the space group: C2/m. Its calculated density is 6.8 g cm⁻³. The calculation puts the energy of formation at 89 meV/atom. The calculation puts the total magnetization at 0.0 μB/cell. As for the relative energy among the computed polymorphs: 0.0000 eV/atom.